[1]
Computed, not measured: crystalline Ac4TeAs2 at its relaxed geometry at the GGA-PBE level of DFT.

a = 4.4980 Å, b = 4.4980 Å, c = 15.2952 Å
α = 81.54°, β = 81.54°, γ = 60.00°
Last column: nearest neighbours and their distance in Å.
Element x y z (fractional)
Ac  0.1281  0.1281  0.6156  3 As 3.18
Ac  0.2847  0.2847  0.1459  3 As 3.13, 3 Te 3.40
Ac  0.7153  0.7153  0.8541  3 As 3.13, 3 Te 3.40
Ac  0.8719  0.8719  0.3844  3 As 3.18
Te  0.0000  0.0000  0.0000  6 Ac 3.40
As  0.4207  0.4207  0.7379  6 Ac 3.13-3.18
As  0.5793  0.5793  0.2621  6 Ac 3.13-3.18

Values from the calculation:
Space group: No. 166
ΔE_f (raw): -1.24 eV per atom
Density of states at the Fermi level: 0.676 states/eV per atom
Total magnetization: 1.5 μB/f.u.

***

[2]
Computed, not measured: crystalline Ac3TeAs at its relaxed geometry at the GGA-PBE level of DFT.

a = 5.9431 Å, b = 5.9431 Å, c = 5.9431 Å
α = 90.00°, β = 90.00°, γ = 90.00°
Last column: nearest neighbours and their distance in Å.
Element x y z (fractional)
Ac  0.0000  0.5000  0.0000  2 As 2.97
Ac  0.0000  0.0000  0.5000  2 As 2.97
Ac  0.5000  0.0000  0.0000  2 As 2.97
Te  0.5000  0.5000  0.5000  12 Ac 4.20
As  0.0000  0.0000  0.0000  6 Ac 2.97

Values from the calculation:
Space group: No. 221
ΔE_f (raw): -0.57 eV per atom
Density of states at the Fermi level: 1.194 states/eV per atom
Total magnetization: 0.0 μB/f.u.

***

[3]
Computed, not measured: crystalline AcTeAs4 at its relaxed geometry at the GGA-PBE level of DFT.

a = 5.9146 Å, b = 5.9146 Å, c = 5.9146 Å
α = 60.00°, β = 60.00°, γ = 60.00°
Last column: nearest neighbours and their distance in Å.
Element x y z (fractional)
Ac  0.2500  0.2500  0.2500  12 As 3.50, 4 Te 3.62
Te  0.0000  0.0000  0.0000  12 As 3.44, 4 Ac 3.62
As  0.6378  0.6378  0.0866  3 As 2.65
As  0.6378  0.0866  0.6378  3 As 2.65
As  0.6378  0.6378  0.6378  3 As 2.65
As  0.0866  0.6378  0.6378  3 As 2.65

Values from the calculation:
Space group: No. 216
ΔE_f (raw): -0.31 eV per atom
Density of states at the Fermi level: 0.764 states/eV per atom
Total magnetization: 0.0 μB/f.u.

***

[4]
Computed, not measured: crystalline Ac2TeAs at its relaxed geometry at the GGA-PBE level of DFT.

a = 4.5731 Å, b = 4.5731 Å, c = 15.8056 Å
α = 90.00°, β = 90.00°, γ = 120.00°
Last column: nearest neighbours and their distance in Å.
Element x y z (fractional)
Ac  0.3333  0.6667  0.3907  3 As 3.16, 3 Te 3.45
Ac  0.6667  0.3333  0.8907  3 As 3.16, 3 Te 3.45
Ac  0.6667  0.3333  0.6093  3 As 3.16, 3 Te 3.45
Ac  0.3333  0.6667  0.1093  3 As 3.16, 3 Te 3.45
Te  0.6667  0.3333  0.2500  6 Ac 3.45
Te  0.3333  0.6667  0.7500  6 Ac 3.45
As  0.0000  0.0000  0.5000  6 Ac 3.16
As  0.0000  0.0000  0.0000  6 Ac 3.16

Values from the calculation:
Energy above the lowest structure with this stoichiometry: 9 meV/atom
Space group: No. 194
ΔE_f (raw): -1.54 eV per atom
Density of states at the Fermi level: 0.456 states/eV per atom
Total magnetization: 0.0 μB/f.u.

***

[5]
Computed, not measured: crystalline Ac6Te12As at its relaxed geometry at the GGA-PBE level of DFT.

a = 9.2283 Å, b = 9.2283 Å, c = 9.2283 Å
α = 97.94°, β = 97.94°, γ = 97.94°
Last column: nearest neighbours and their distance in Å.
Element x y z (fractional)
Ac  0.6848  0.8679  0.3508  7 Te 3.29-3.59
Ac  0.6492  0.3152  0.1321  7 Te 3.29-3.59
Ac  0.1321  0.6492  0.3152  7 Te 3.29-3.59
Ac  0.3152  0.1321  0.6492  7 Te 3.29-3.59
Ac  0.3508  0.6848  0.8679  7 Te 3.29-3.59
Ac  0.8679  0.3508  0.6848  7 Te 3.29-3.59
Te  0.8126  0.5658  0.4276  4 Ac 3.29-3.35
Te  0.4276  0.8126  0.5658  4 Ac 3.29-3.35
Te  0.5658  0.4276  0.8126  4 Ac 3.29-3.35
Te  0.1874  0.4342  0.5724  4 Ac 3.29-3.35
Te  0.5724  0.1874  0.4342  4 Ac 3.29-3.35
Te  0.4342  0.5724  0.1874  4 Ac 3.29-3.35
Te  0.0371  0.9980  0.3291  1 As 3.01, 1 Te 3.31, 1 Ac 3.35
Te  0.0020  0.6709  0.9629  1 As 3.01, 1 Te 3.31, 1 Ac 3.35
Te  0.6709  0.9629  0.0020  1 As 3.01, 1 Te 3.31, 1 Ac 3.35
Te  0.9629  0.0020  0.6709  1 As 3.01, 1 Te 3.31, 1 Ac 3.35
Te  0.9980  0.3291  0.0371  1 As 3.01, 1 Te 3.31, 1 Ac 3.35
Te  0.3291  0.0371  0.9980  1 As 3.01, 1 Te 3.31, 1 Ac 3.35
As  0.0000  0.0000  0.0000  6 Te 3.01

Values from the calculation:
Space group: No. 148
ΔE_f (raw): -1.16 eV per atom
Density of states at the Fermi level: 0.820 states/eV per atom
Total magnetization: 0.0 μB/f.u.

***

[6]
Computed, not measured: crystalline Ac2TeAs at its relaxed geometry at the GGA-PBE level of DFT.

a = 4.5948 Å, b = 6.5676 Å, c = 9.4000 Å
α = 90.00°, β = 90.00°, γ = 90.00°
Last column: nearest neighbours and their distance in Å.
Element x y z (fractional)
Ac  0.0000  0.0000  0.8487  2 As 3.12, 4 Te 3.30-3.43
Ac  0.0000  0.0000  0.3926  4 As 3.16-3.29, 2 Te 3.44
Ac  0.5000  0.5000  0.6074  4 As 3.16-3.29, 2 Te 3.44
Ac  0.5000  0.5000  0.1513  2 As 3.12, 4 Te 3.30-3.43
Te  0.0000  0.5000  0.8797  6 Ac 3.30-3.44
Te  0.5000  0.0000  0.1203  6 Ac 3.30-3.44
As  0.5000  0.0000  0.6236  6 Ac 3.12-3.29
As  0.0000  0.5000  0.3764  6 Ac 3.12-3.29

Values from the calculation:
Energy above the lowest structure with this stoichiometry: 0 meV/atom
Space group: No. 59
ΔE_f (raw): -1.55 eV per atom
Density of states at the Fermi level: 0.325 states/eV per atom
Total magnetization: 0.0 μB/f.u.